# Pm5NdYTm2 (PBE, optimized geometry)
data_Pm5NdYTm2
_chemical_formula_sum 'Pm20 Nd4 Y4 Tm8'
_cell_length_a 5.6771
_cell_length_b 20.2528
_cell_length_c 10.6612
_cell_angle_alpha 90.00
_cell_angle_beta 90.00
_cell_angle_gamma 90.00
_symmetry_space_group_name_H-M 'C m c 21'
_symmetry_Int_Tables_number 36
loop_
_symmetry_equiv_pos_as_xyz
'x,y,z'
'-x,-y,z+1/2'
'-x,y,z'
'x,-y,z+1/2'
'x+1/2,y+1/2,z'
'-x+1/2,-y+1/2,z+1/2'
'-x+1/2,y+1/2,z'
'x+1/2,-y+1/2,z+1/2'
loop_
_atom_site_label
_atom_site_fract_x
_atom_site_fract_y
_atom_site_fract_z
_atom_site_occupancy
Pm1 0.0000 0.0174 0.0000 1
Pm2 0.0000 0.2809 0.2919 1
Pm3 0.0000 0.2981 0.6875 1
Pm4 0.0000 0.3873 0.0022 1
Pm5 0.0000 0.4795 0.7192 1
Nd1 0.0000 0.4134 0.4318 1
Y1 0.0000 0.1992 0.9910 1
Tm1 0.0000 0.1128 0.7139 1
Tm2 0.0000 0.1156 0.2976 1
# Calculated volume, Å³/atom: 34.05
# Formation energy from the elements, kcal/mol of atoms: 3.469
# Theoretical density, g cm⁻³: 7.0